Entry 1:
The following is a DFT calculation (PBE) of a relaxed V4Cr3Mo2 crystal.

The space group is C2/m (No. 12) and the conventional cell measures 7.281, 4.206 and 7.819 Å, with angles of 90.00, 90.06 and 90.00 degrees. The inequivalent atoms are V at (0.000, 0.000, 0.165), V at (0.167, 0.500, 0.610), Cr at (0.000, 0.000, 0.500), Cr at (0.167, 0.500, 0.951) and Mo at (0.167, 0.500, 0.273).

The value obtained for the energy of formation from the pure elements is -0.0804 eV per atom. The value obtained for the density is 7650 kg/m³.

Entry 2:
The following is a DFT calculation (PBE) of a relaxed CdIr2W crystal.

The space group is P4/mmm (No. 123) and the conventional cell measures 2.871, 2.871 and 7.835 Å, with angles of 90.00, 90.00 and 90.00 degrees. The inequivalent atoms are Cd at (0.000, 0.000, 0.000), Ir at (0.500, 0.500, 0.272) and W at (0.000, 0.000, 0.500).

The value obtained for the energy of formation from the pure elements is -0.1569 eV per atom. The value obtained for the density is 17497 kg/m³.